# GGA-PBE Ca3MnN, optimized geometry
# Distance to the lowest polymorph of the same formula in eV per formula unit: 0.37
# N(E_F) in states/eV/cell: 5.714
# Spin magnetization in μB/atom: 0.4952
data_Ca3MnN
_symmetry_space_group_name_H-M 'P m -3 m'
_symmetry_Int_Tables_number 221
_symmetry_space_group_name_Hall '-P 4 2 3'
_cell_length_a 5.266
_cell_length_b 5.266
_cell_length_c 5.266
_cell_angle_alpha 90.00
_cell_angle_beta 90.00
_cell_angle_gamma 90.00
loop_
_atom_site_label
_atom_site_type_symbol
_atom_site_fract_x
_atom_site_fract_y
_atom_site_fract_z
Ca1 Ca 0.000 0.000 0.500
Mn1 Mn 0.000 0.000 0.000
N1 N 0.500 0.500 0.500


# GGA-PBE Ca6MnN5, optimized geometry
# Spin magnetization in μB/atom: 0.1666
# DFT total energy in eV/atom: -6.087
data_Ca6MnN5
_symmetry_space_group_name_H-M 'P 63/m c m'
_symmetry_Int_Tables_number 193
_symmetry_space_group_name_Hall '-P 6c 2'
_cell_length_a 6.2321
_cell_length_b 6.2321
_cell_length_c 12.3498
_cell_angle_alpha 90.00
_cell_angle_beta 90.00
_cell_angle_gamma 120.00
loop_
_atom_site_label
_atom_site_type_symbol
_atom_site_fract_x
_atom_site_fract_y
_atom_site_fract_z
Ca1 Ca 0.0000 0.3944 0.1183
Mn1 Mn 0.0000 0.0000 0.2500
N1 N 0.0000 0.2862 0.7500
N2 N 0.3333 0.6667 0.0000


# GGA-PBE CaMn2N2, optimized geometry
# N(E_F) in states/eV/cell: 4.354
# Spin magnetization in μB/atom: 1.2091
# DFT total energy in eV/atom: -7.640
data_CaMn2N2
_symmetry_space_group_name_H-M 'I 4/m m m'
_symmetry_Int_Tables_number 139
_symmetry_space_group_name_Hall '-I 4 2'
_cell_length_a 3.842
_cell_length_b 3.842
_cell_length_c 9.483
_cell_angle_alpha 90.00
_cell_angle_beta 90.00
_cell_angle_gamma 90.00
loop_
_atom_site_label
_atom_site_type_symbol
_atom_site_fract_x
_atom_site_fract_y
_atom_site_fract_z
Ca1 Ca 0.000 0.000 0.000
Mn1 Mn 0.000 0.000 0.295
N1 N 0.000 0.500 0.250


# GGA-PBE Ca5Mn2N6, optimized geometry
# Distance to the lowest polymorph of the same formula in eV per formula unit: 1.12
# N(E_F) in states/eV/cell: 5.910
# Spin magnetization in μB/atom: 0.4128
data_Ca5Mn2N6
_symmetry_space_group_name_H-M 'P b a m'
_symmetry_Int_Tables_number 55
_symmetry_space_group_name_Hall '-P 2 2ab'
_cell_length_a 9.680
_cell_length_b 11.382
_cell_length_c 3.347
_cell_angle_alpha 90.00
_cell_angle_beta 90.00
_cell_angle_gamma 90.00
loop_
_atom_site_label
_atom_site_type_symbol
_atom_site_fract_x
_atom_site_fract_y
_atom_site_fract_z
Ca1 Ca 0.000 0.000 0.000
Ca2 Ca 0.050 0.252 0.000
Ca3 Ca 0.174 0.510 0.000
Mn1 Mn 0.202 0.722 0.500
N1 N 0.051 0.627 0.500
N2 N 0.153 0.109 0.500
N3 N 0.201 0.804 0.000


# GGA-PBE Ca7MnN6, optimized geometry
# N(E_F) in states/eV/cell: 10.173
# Spin magnetization in μB/atom: 0.2140
# DFT total energy in eV/atom: -6.014
data_Ca7MnN6
_symmetry_space_group_name_H-M 'P b c n'
_symmetry_Int_Tables_number 60
_symmetry_space_group_name_Hall '-P 2n 2ab'
_cell_length_a 10.919
_cell_length_b 6.262
_cell_length_c 12.969
_cell_angle_alpha 90.00
_cell_angle_beta 90.00
_cell_angle_gamma 90.00
loop_
_atom_site_label
_atom_site_type_symbol
_atom_site_fract_x
_atom_site_fract_y
_atom_site_fract_z
Ca1 Ca 0.000 0.056 0.250
Ca2 Ca 0.038 0.230 0.522
Ca3 Ca 0.205 0.389 0.122
Ca4 Ca 0.229 0.354 0.874
Mn1 Mn 0.000 0.438 0.750
N1 N 0.054 0.383 0.353
N2 N 0.126 0.261 0.708
N3 N 0.167 0.093 0.997


# GGA-PBE CaMn3N, optimized geometry
# Distance to the lowest polymorph of the same formula in eV per formula unit: 13.47
# N(E_F) in states/eV/cell: 5.129
# Spin magnetization in μB/atom: 2.3131
data_CaMn3N
_symmetry_space_group_name_H-M 'P m -3 m'
_symmetry_Int_Tables_number 221
_symmetry_space_group_name_Hall '-P 4 2 3'
_cell_length_a 4.778
_cell_length_b 4.778
_cell_length_c 4.778
_cell_angle_alpha 90.00
_cell_angle_beta 90.00
_cell_angle_gamma 90.00
loop_
_atom_site_label
_atom_site_type_symbol
_atom_site_fract_x
_atom_site_fract_y
_atom_site_fract_z
Ca1 Ca 0.000 0.000 0.000
Mn1 Mn 0.000 0.000 0.500
N1 N 0.500 0.500 0.500


# GGA-PBE Ca9Mn2N8, optimized geometry
# N(E_F) in states/eV/cell: 15.434
# Spin magnetization in μB/atom: 0.1431
# DFT total energy in eV/atom: -6.218
data_Ca9Mn2N8
_symmetry_space_group_name_H-M 'C 1 2/m 1'
_symmetry_Int_Tables_number 12
_symmetry_space_group_name_Hall '-C 2y'
_cell_length_a 18.420
_cell_length_b 4.922
_cell_length_c 7.875
_cell_angle_alpha 90.00
_cell_angle_beta 111.40
_cell_angle_gamma 90.00
loop_
_atom_site_label
_atom_site_type_symbol
_atom_site_fract_x
_atom_site_fract_y
_atom_site_fract_z
Ca1 Ca 0.000 0.000 0.000
Ca2 Ca 0.037 0.500 0.733
Ca3 Ca 0.089 0.000 0.484
Ca4 Ca 0.173 0.000 0.944
Ca5 Ca 0.193 0.500 0.316
Mn1 Mn 0.195 0.500 0.699
N1 N 0.036 0.000 0.748
N2 N 0.110 0.500 0.500
N3 N 0.182 0.500 0.904
N4 N 0.212 0.000 0.307


# GGA-PBE Ca3Mn2N4, optimized geometry
# Distance to the lowest polymorph of the same formula in eV per formula unit: 0.77
# N(E_F) in states/eV/cell: 17.163
# Spin magnetization in μB/atom: 0.2182
data_Ca3Mn2N4
_symmetry_space_group_name_H-M 'C 1 2/c 1'
_symmetry_Int_Tables_number 15
_symmetry_space_group_name_Hall '-C 2yc'
_cell_length_a 10.650
_cell_length_b 8.266
_cell_length_c 5.331
_cell_angle_alpha 90.00
_cell_angle_beta 92.63
_cell_angle_gamma 90.00
loop_
_atom_site_label
_atom_site_type_symbol
_atom_site_fract_x
_atom_site_fract_y
_atom_site_fract_z
Ca1 Ca 0.000 0.098 0.250
Ca2 Ca 0.119 0.366 0.542
Mn1 Mn 0.206 0.126 0.917
N1 N 0.121 0.321 0.025
N2 N 0.168 0.065 0.589


# GGA-PBE Ca3Mn3N5, optimized geometry
# N(E_F) in states/eV/cell: 8.466
# Spin magnetization in μB/atom: 0.0704
# DFT total energy in eV/atom: -7.545
data_Ca3Mn3N5
_symmetry_space_group_name_H-M 'P -1'
_symmetry_Int_Tables_number 2
_symmetry_space_group_name_Hall '-P 1'
_cell_length_a 5.537
_cell_length_b 6.773
_cell_length_c 8.332
_cell_angle_alpha 108.00
_cell_angle_beta 103.91
_cell_angle_gamma 95.05
loop_
_atom_site_label
_atom_site_type_symbol
_atom_site_fract_x
_atom_site_fract_y
_atom_site_fract_z
Ca1 Ca 0.154 0.167 0.201
Ca2 Ca 0.159 0.369 0.880
Ca3 Ca 0.323 0.920 0.617
Mn1 Mn 0.189 0.448 0.566
Mn2 Mn 0.397 0.615 0.301
Mn3 Mn 0.407 0.822 0.972
N1 N 0.124 0.564 0.385
N2 N 0.250 0.039 0.911
N3 N 0.310 0.722 0.126
N4 N 0.332 0.210 0.508
N5 N 0.436 0.619 0.774